No. 1
The following is a PBE-GGA calculation of a relaxed PrSeS2 crystal, from Alexandria.

Summary:
VASP energy in eV/cell: -41.274
Energy relative to the elements, uncorrected in eV per atom: -1.03
Calculated volume in Å³/atom: 23.54
DOS(E_F) in states/eV/atom: 0.1388

Cell and atoms, written as CIF:
```
data_PrSeS2
_symmetry_space_group_name_H-M 'P 4/n m m'
_symmetry_Int_Tables_number 129
_cell_length_a 4.3923
_cell_length_b 4.3923
_cell_length_c 9.7635
_cell_angle_alpha 90.00
_cell_angle_beta 90.00
_cell_angle_gamma 90.00
loop_
_symmetry_equiv_pos_as_xyz
'x,y,z'
'-x,-y,-z'
'-y+1/2,x,z'
'y+1/2,-x,-z'
'-x+1/2,-y+1/2,z'
'x+1/2,y+1/2,-z'
'y,-x+1/2,z'
'-y,x+1/2,-z'
'x+1/2,-y,-z'
'-x+1/2,y,z'
'-y,-x,-z'
'y,x,z'
'-x,y+1/2,-z'
'x,-y+1/2,z'
'y+1/2,x+1/2,-z'
'-y+1/2,-x+1/2,z'
loop_
_atom_site_label
_atom_site_type_symbol
_atom_site_fract_x
_atom_site_fract_y
_atom_site_fract_z
_atom_site_occupancy
Pr1 Pr 0.2500 0.2500 0.1937 1
Se1 Se 0.2500 0.2500 0.8820 1
S1 S 0.2500 0.7500 0.3998 1
```

=====

No. 2
The following is a PBE-GGA calculation of a relaxed Pr3Al2Sn2 crystal, from Alexandria.

Summary:
Calculated formation energy in eV per atom: -0.640
VASP energy in eV/cell: -68.614
Calculated volume in Å³/atom: 28.14
DOS(E_F) in states/eV/atom: 0.7677

Cell and atoms, written as CIF:
```
data_Pr3Al2Sn2
_symmetry_space_group_name_H-M 'I m m m'
_symmetry_Int_Tables_number 71
_symmetry_space_group_name_Hall '-I 2 2'
_cell_length_a 4.3840
_cell_length_b 4.5697
_cell_length_c 19.6663
_cell_angle_alpha 90.00
_cell_angle_beta 90.00
_cell_angle_gamma 90.00
loop_
_atom_site_label
_atom_site_type_symbol
_atom_site_fract_x
_atom_site_fract_y
_atom_site_fract_z
_atom_site_occupancy
Pr1 Pr 0.0000 0.0000 0.0000 1
Pr2 Pr 0.0000 0.5000 0.3157 1
Al1 Al 0.0000 0.0000 0.4362 1
Sn1 Sn 0.0000 0.5000 0.1456 1
```

=====

No. 3
The following is a PBE-GGA calculation of a relaxed TbCeDy2Er5 crystal, from Alexandria.

Summary:
Calculated formation energy in eV per atom: 0.172
VASP energy in eV/cell: -164.121
Calculated volume in Å³/atom: 31.80
DOS(E_F) in states/eV/atom: 1.7288

Cell and atoms, written as CIF:
```
data_TbCeDy2Er5
_symmetry_space_group_name_H-M 'C m c 21'
_symmetry_Int_Tables_number 36
_symmetry_space_group_name_Hall 'C 2c -2'
_cell_length_a 5.6489
_cell_length_b 21.3430
_cell_length_c 9.4958
_cell_angle_alpha 90.00
_cell_angle_beta 90.00
_cell_angle_gamma 90.00
loop_
_atom_site_label
_atom_site_type_symbol
_atom_site_fract_x
_atom_site_fract_y
_atom_site_fract_z
_atom_site_occupancy
Tb1 Tb 0.0000 0.0968 0.0000 1
Ce1 Ce 0.0000 0.3076 0.5938 1
Dy1 Dy 0.0000 0.3651 0.2796 1
Dy2 Dy 0.0000 0.3867 0.8952 1
Er1 Er 0.0000 0.0287 0.3195 1
Er2 Er 0.0000 0.1057 0.6164 1
Er3 Er 0.0000 0.1932 0.2884 1
Er4 Er 0.0000 0.2335 0.9072 1
Er5 Er 0.0000 0.4864 0.5869 1
```

=====

No. 4
The following is a PBE-GGA calculation of a relaxed Pu2MnB2Rh5 crystal, from Alexandria.

Summary:
Calculated formation energy in eV per atom: -0.449
VASP energy in eV/cell: -184.863
Calculated volume in Å³/atom: 14.74
DOS(E_F) in states/eV/atom: 2.3849

Cell and atoms, written as CIF:
```
data_Pu2MnB2Rh5
_symmetry_space_group_name_H-M 'P 4/m b m'
_symmetry_Int_Tables_number 127
_symmetry_space_group_name_Hall '-P 4 2ab'
_cell_length_a 9.6887
_cell_length_b 9.6887
_cell_length_c 3.1415
_cell_angle_alpha 90.00
_cell_angle_beta 90.00
_cell_angle_gamma 90.00
loop_
_atom_site_label
_atom_site_type_symbol
_atom_site_fract_x
_atom_site_fract_y
_atom_site_fract_z
_atom_site_occupancy
Pu1 Pu 0.1775 0.3225 0.0000 1
Mn1 Mn 0.0000 0.0000 0.0000 1
B1 B 0.1223 0.6223 0.0000 1
Rh1 Rh 0.0000 0.5000 0.5000 1
Rh2 Rh 0.0688 0.7772 0.5000 1
```

=====

No. 5
The following is a PBE-GGA calculation of a relaxed Ca2BeZn crystal, from Alexandria.

Summary:
Calculated formation energy in eV per atom: 0.162
VASP energy in eV/cell: -8.354
E above lowest polymorph in meV per atom: 144.2
Calculated volume in Å³/atom: 23.89
DOS(E_F) in states/eV/atom: 0.6236

Cell and atoms, written as CIF:
```
data_Ca2BeZn
_symmetry_space_group_name_H-M 'P 4 m m'
_symmetry_Int_Tables_number 99
_symmetry_space_group_name_Hall 'P 4 -2'
_cell_length_a 3.3848
_cell_length_b 3.3848
_cell_length_c 8.3414
_cell_angle_alpha 90.00
_cell_angle_beta 90.00
_cell_angle_gamma 90.00
loop_
_atom_site_label
_atom_site_type_symbol
_atom_site_fract_x
_atom_site_fract_y
_atom_site_fract_z
_atom_site_occupancy
Ca1 Ca 0.0000 0.0000 0.0000 1
Ca2 Ca 0.5000 0.5000 0.3908 1
Be1 Be 0.5000 0.5000 0.7611 1
Zn1 Zn 0.0000 0.0000 0.6376 1
```

=====

No. 6
The following is a PBE-GGA calculation of a relaxed CeMn2VN4 crystal, from Alexandria.

Summary:
VASP energy in eV/cell: -287.536
Energy relative to the elements, uncorrected in eV per atom: -0.65
Calculated volume in Å³/atom: 11.46
DOS(E_F) in states/eV/atom: 0.7332

Cell and atoms, written as CIF:
```
data_CeMn2VN4
_symmetry_space_group_name_H-M 'C m c m'
_symmetry_Int_Tables_number 63
_symmetry_space_group_name_Hall '-C 2c 2'
_cell_length_a 3.1855
_cell_length_b 11.9465
_cell_length_c 9.6404
_cell_angle_alpha 90.00
_cell_angle_beta 90.00
_cell_angle_gamma 90.00
loop_
_atom_site_label
_atom_site_type_symbol
_atom_site_fract_x
_atom_site_fract_y
_atom_site_fract_z
_atom_site_occupancy
Ce1 Ce 0.0000 0.0660 0.2500 1
Mn1 Mn 0.0000 0.3993 0.0388 1
V1 V 0.0000 0.2061 0.7500 1
N1 N 0.0000 0.0000 0.0000 1
N2 N 0.0000 0.3095 0.6148 1
N3 N 0.0000 0.3939 0.2500 1
```

=====

Which value of VASP energy does entry 4 give?
-184.863 eV/cell

=====

What did the sixth record say?
The following is a PBE-GGA calculation of a relaxed CeMn2VN4 crystal, from Alexandria.

Summary:
VASP energy in eV/cell: -287.536
Energy relative to the elements, uncorrected in eV per atom: -0.65
Calculated volume in Å³/atom: 11.46
DOS(E_F) in states/eV/atom: 0.7332

Cell and atoms, written as CIF:
```
data_CeMn2VN4
_symmetry_space_group_name_H-M 'C m c m'
_symmetry_Int_Tables_number 63
_symmetry_space_group_name_Hall '-C 2c 2'
_cell_length_a 3.1855
_cell_length_b 11.9465
_cell_length_c 9.6404
_cell_angle_alpha 90.00
_cell_angle_beta 90.00
_cell_angle_gamma 90.00
loop_
_atom_site_label
_atom_site_type_symbol
_atom_site_fract_x
_atom_site_fract_y
_atom_site_fract_z
_atom_site_occupancy
Ce1 Ce 0.0000 0.0660 0.2500 1
Mn1 Mn 0.0000 0.3993 0.0388 1
V1 V 0.0000 0.2061 0.7500 1
N1 N 0.0000 0.0000 0.0000 1
N2 N 0.0000 0.3095 0.6148 1
N3 N 0.0000 0.3939 0.2500 1
```